NiPAu2 after structural relaxation, computed with PBE.

Values from the calculation:
The energy of formation from the pure elements comes out at 292 meV per atom. The density of states at the Fermi level is 0.529 states/eV/atom. As for the density: 12882 kg/m3. Its magnetization is 0.000 μB/atom.

```
4
Lattice="3.076 0.353 3.695 1.272 4.626 0.470 -4.341 -2.073 -0.319" Properties=species:S:1:pos:R:3 pbc="T T T"
Au -0.447 2.521 1.117
P 0.455 0.385 2.729
Ni 2.174 2.490 2.082
Au 0.000 0.000 0.000
```

NiP2Au after structural relaxation, computed with PBE.

Values from the calculation:
The energy of formation from the pure elements comes out at 43 meV per atom. The density of states at the Fermi level is 0.328 states/eV/atom. As for the density: 8825 kg/m3. Its magnetization is 0.000 μB/atom. The excess energy over the best structure of this formula in the dataset is 132 meV/atom.

```
4
Lattice="3.282 0.000 0.000 0.000 4.059 0.019 0.000 2.019 4.496" Properties=species:S:1:pos:R:3 pbc="T T T"
Ni 1.641 4.873 3.443
Au 0.000 2.889 2.400
P 1.641 1.427 0.724
P 0.000 3.987 0.223
```

NiPAu2 after structural relaxation, computed with PBE.

Values from the calculation:
The energy of formation from the pure elements comes out at 288 meV per atom. The density of states at the Fermi level is 0.813 states/eV/atom. As for the density: 12828 kg/m3. Its magnetization is 0.000 μB/atom.

```
4
Lattice="3.390 0.000 0.000 0.000 3.390 0.000 0.000 0.000 5.447" Properties=species:S:1:pos:R:3 pbc="T T T"
Ni 1.695 1.695 0.000
P 1.695 1.695 2.723
Au 0.000 0.000 4.105
Au 0.000 0.000 1.341
```

Ni4PAu after structural relaxation, computed with PBE.

Values from the calculation:
The energy of formation from the pure elements comes out at 263 meV per atom. The density of states at the Fermi level is 1.274 states/eV/atom. As for the density: 10038 kg/m3. Its magnetization is 0.001 μB/atom.

```
6
Lattice="4.126 -2.350 0.402 0.461 -4.348 -1.897 2.757 -0.647 -3.833" Properties=species:S:1:pos:R:3 pbc="T T T"
Au 0.000 0.000 0.000
P 1.836 -1.836 -1.332
Ni 2.528 -3.416 -3.530
Ni 3.212 -4.267 -1.415
Ni 4.589 -4.590 -3.329
Ni 4.359 -2.418 -2.382
```

NiPAu2 after structural relaxation, computed with PBE.

Values from the calculation:
The energy of formation from the pure elements comes out at 342 meV per atom. The density of states at the Fermi level is 1.003 states/eV/atom. As for the density: 12544 kg/m3. Its magnetization is 0.074 μB/atom.

```
4
Lattice="0.516 6.873 4.539 -2.462 6.785 4.001 -1.290 5.186 6.289" Properties=species:S:1:pos:R:3 pbc="T T T"
P 0.000 0.000 0.000
Ni -1.618 9.422 7.415
Au -2.429 14.139 11.128
Au -0.808 4.704 3.702
```

NiPAu2 after structural relaxation, computed with PBE.

Values from the calculation:
The energy of formation from the pure elements comes out at 284 meV per atom. The density of states at the Fermi level is 0.375 states/eV/atom. As for the density: 12894 kg/m3. Its magnetization is 0.000 μB/atom.

```
4
Lattice="-2.009 2.009 3.857 2.009 -2.009 3.857 2.009 2.009 -3.857" Properties=species:S:1:pos:R:3 pbc="T T T"
Au 2.009 0.000 1.928
P 0.000 0.000 0.000
Au 0.000 2.009 1.928
Ni 0.000 0.000 3.857
```

NiP2Au after structural relaxation, computed with PBE.

Values from the calculation:
The energy of formation from the pure elements comes out at -70 meV per atom. The density of states at the Fermi level is 0.347 states/eV/atom. As for the density: 8264 kg/m3. Its magnetization is 0.000 μB/atom. The excess energy over the best structure of this formula in the dataset is 20 meV/atom.

```
4
Lattice="-3.575 1.620 0.349 -3.288 -1.375 -1.682 -0.859 -2.835 4.060" Properties=species:S:1:pos:R:3 pbc="T T T"
Au -4.248 -1.221 1.200
P -0.721 -2.375 3.401
Ni -5.610 -2.582 3.015
P -1.863 -0.541 0.534
```

NiP2Au after structural relaxation, computed with PBE.

Values from the calculation:
The energy of formation from the pure elements comes out at 208 meV per atom. The density of states at the Fermi level is 0.640 states/eV/atom. As for the density: 8797 kg/m3. Its magnetization is 0.000 μB/atom. The excess energy over the best structure of this formula in the dataset is 298 meV/atom.

```
4
Lattice="4.844 0.011 -0.012 -2.045 4.392 -0.012 1.407 2.213 2.803" Properties=species:S:1:pos:R:3 pbc="T T T"
P 1.400 2.201 -0.012
Au 3.126 1.112 1.395
Ni -0.319 3.302 1.395
P 0.000 0.000 0.000
```